The following is a GGA-PBE calculation of an optimized crystal structure of CuIr, from the Open Quantum Materials Database.

Structure (POSCAR):
```
CuIr
1.0
-2.642 -0.016 0.431
1.630 -1.360 1.630
0.390 3.497 2.527
Ir Cu
1 1
direct
0.333 0.667 0.250
0.667 0.333 0.750
```

Size of the total moment   0.070 μB per formula unit
Space-group type   P-6m2
Electronic total energy   -12.33 eV/cell